Run one
TaBrO2: optimized geometry, GGA-PBE.

Unit cell a=4.051 b=4.051 c=4.051 alpha=60.00 beta=60.00 gamma=60.00
Fractional coordinates of all 4 atoms:
Ta (0.000, 0.000, 0.000)
Br (0.500, 0.500, 0.500)
O (0.250, 0.250, 0.250)
O (0.750, 0.750, 0.750)

Space-group type   No. 225
DOS(E_F)   1.517 states/eV/cell



Run two
TaBrO2: optimized geometry, GGA-PBE.

Unit cell a=8.885 b=8.885 c=8.885 alpha=19.70 beta=19.70 gamma=19.70
Fractional coordinates of all 4 atoms:
Ta (0.000, 0.000, 0.000)
Br (0.500, 0.500, 0.500)
O (0.376, 0.376, 0.376)
O (0.624, 0.624, 0.624)

Space-group type   No. 166
DOS(E_F)   3.524 states/eV/cell



Run three
TaBrO2: optimized geometry, GGA-PBE.

Unit cell a=8.052 b=8.052 c=8.052 alpha=22.02 beta=22.02 gamma=22.02
Fractional coordinates of all 4 atoms:
Ta (0.000, 0.000, 0.000)
Br (0.500, 0.500, 0.500)
O (0.078, 0.078, 0.078)
O (0.922, 0.922, 0.922)

Space-group type   No. 166
DOS(E_F)   5.333 states/eV/cell



run two is preferred energetically. Next in line: 1268 meV/atom higher.



Run one
Ta2Br2O: optimized geometry, GGA-PBE.

Unit cell a=5.113 b=5.113 c=5.113 alpha=116.12 beta=116.12 gamma=96.86
Fractional coordinates of all 5 atoms:
Ta (0.213, 0.213, 0.000)
Ta (0.787, 0.787, 0.000)
Br (0.250, 0.750, 0.500)
Br (0.750, 0.250, 0.500)
O (0.500, 0.500, 0.000)

Space-group type   No. 139
DOS(E_F)   5.881 states/eV/cell



Run two
Ta2Br2O: optimized geometry, GGA-PBE.

Unit cell a=5.996 b=5.996 c=5.089 alpha=90.00 beta=90.00 gamma=90.00
Fractional coordinates of all 10 atoms:
Ta (0.190, 0.310, 0.000)
Ta (0.310, 0.810, 0.000)
Ta (0.690, 0.190, 0.000)
Ta (0.810, 0.690, 0.000)
Br (0.187, 0.313, 0.500)
Br (0.313, 0.813, 0.500)
Br (0.687, 0.187, 0.500)
Br (0.813, 0.687, 0.500)
O (0.000, 0.000, 0.000)
O (0.500, 0.500, 0.000)

Space-group type   No. 127
DOS(E_F)   6.607 states/eV/cell



run two is preferred energetically. Next in line: 598 meV/atom higher.